Entry 1:
Pa3V after structural relaxation. Source: the Alexandria database, functional PBE-GGA.

Unit cell a=7.0210 b=7.0210 c=7.0210 alpha=90.00 beta=90.00 gamma=90.00
Space group Fm-3m (No. 225)
Asymmetric unit:
Pa 0.0000 0.0000 0.0000 x4
Pa 0.2500 0.2500 0.2500 x8
V 0.0000 0.0000 0.5000 x4

Computed properties:
The value obtained for the volume is 21.6 Å³/atom. For the formation energy, the calculation gives 0.281 eV/atom. As for the raw total energy: -145.934 eV/cell.

Entry 2:
YPaRh4 after structural relaxation. Source: the Alexandria database, functional PBE-GGA.

Unit cell a=3.9437 b=3.9437 c=7.9483 alpha=90.00 beta=90.00 gamma=90.00
Space group P4/mmm (No. 123)
Asymmetric unit:
Y 0.0000 0.0000 0.0000 x1
Pa 0.5000 0.5000 0.5000 x1
Rh 0.0000 0.5000 0.2690 x4

Computed properties:
The value obtained for the volume is 20.6 Å³/atom. For the formation energy, the calculation gives -0.522 eV/atom. As for the raw total energy: -48.495 eV/cell.

Entry 3:
MnGe2Ir after structural relaxation. Source: the Alexandria database, functional PBE-GGA.

Unit cell a=4.8840 b=4.8526 c=4.8942 alpha=90.00 beta=90.26 gamma=90.00
Space group P2_1 (No. 4)
Asymmetric unit:
Mn 0.1138 0.0000 0.1310 x2
Ge 0.0916 0.4755 0.3237 x2
Ge 0.4055 0.2906 0.8459 x2
Ir 0.3746 0.7607 0.6347 x2

Computed properties:
The value obtained for the volume is 14.5 Å³/atom. For the formation energy, the calculation gives -0.160 eV/atom. As for the raw total energy: -55.810 eV/cell.

Entry 4:
Ce5Ga2Co2 after structural relaxation. Source: the Alexandria database, functional PBE-GGA.

Unit cell a=17.5654 b=7.6633 c=5.9268 alpha=90.00 beta=90.00 gamma=90.00
Space group Ima2 (No. 46)
Asymmetric unit:
Ce 0.0191 0.1907 0.0000 x8
Ce 0.1708 0.5980 0.3096 x8
Ce 0.2500 0.2155 0.1995 x4
Ga 0.1107 0.5246 0.8229 x8
Co 0.0000 0.0000 0.5862 x4
Co 0.2500 0.5551 0.8423 x4

Computed properties:
The value obtained for the volume is 22.2 Å³/atom. For the formation energy, the calculation gives -0.270 eV/atom. As for the raw total energy: -209.476 eV/cell.

Entry 5:
YFeTc2C after structural relaxation. Source: the Alexandria database, functional PBE-GGA.

Unit cell a=4.6552 b=4.6552 c=3.6738 alpha=90.00 beta=90.00 gamma=90.00
Space group P4/mmm (No. 123)
Asymmetric unit:
Y 0.0000 0.0000 0.0000 x1
Fe 0.5000 0.5000 0.5000 x1
Tc 0.0000 0.5000 0.5000 x2
C 0.5000 0.5000 0.0000 x1

Computed properties:
The value obtained for the volume is 15.9 Å³/atom. For the formation energy, the calculation gives 0.984 eV/atom. As for the raw total energy: -39.960 eV/cell.

Entry 6:
Al2CoIr after structural relaxation. Source: the Alexandria database, functional PBE-GGA.

Unit cell a=6.5341 b=6.5341 c=5.4436 alpha=90.00 beta=90.00 gamma=90.00
Space group I-42d (No. 122)
Asymmetric unit:
Al 0.2346 0.7500 0.1250 x8
Co 0.0000 0.0000 0.0000 x4
Ir 0.0000 0.0000 0.5000 x4

Computed properties:
The value obtained for the volume is 14.5 Å³/atom. For the formation energy, the calculation gives -0.002 eV/atom. As for the raw total energy: -93.841 eV/cell.

Entry 7:
SrO2F after structural relaxation. Source: the Alexandria database, functional PBE-GGA.

Unit cell a=6.8521 b=4.2379 c=4.2664 alpha=90.00 beta=108.04 gamma=90.00
Space group Cm (No. 8)
Asymmetric unit:
Sr 0.0000 0.0000 0.0000 x2
O 0.1060 0.5000 0.5131 x2
O 0.2509 0.5000 0.3578 x2
F 0.3209 0.0000 0.8830 x2

Computed properties:
The calculation puts the uncorrected formation energy at -8.2 eV per formula unit. The value obtained for the volume is 14.7 Å³/atom. As for the raw total energy: -43.416 eV/cell.

Entry 8:
Cu3TcCl8 after structural relaxation. Source: the Alexandria database, functional PBE-GGA.

Unit cell a=7.3408 b=9.7350 c=7.6135 alpha=90.00 beta=90.00 gamma=90.00
Space group C222 (No. 21)
Asymmetric unit:
Cu 0.0000 0.0000 0.0000 x2
Cu 0.2500 0.2500 0.7810 x4
Tc 0.0000 0.0000 0.5000 x2
Cl 0.0000 0.2314 0.0000 x4
Cl 0.0000 0.2405 0.5000 x4
Cl 0.2302 0.0133 0.7244 x8

Computed properties:
The calculation puts the uncorrected formation energy at -6.4 eV per formula unit. The value obtained for the volume is 22.7 Å³/atom. As for the raw total energy: -87.616 eV/cell.